# ZrFe3 GGA-PBE optimized geometry
# Density of states at the Fermi level   1.608 states/eV/atom
# Total energy   -32.40 eV for the cell shown
# SG   P-6m2 (187)
# Magnetization   7.452 μB/cell
data_ZrFe3
_cell_length_a 2.819
_cell_length_b 2.819
_cell_length_c 8.559
_cell_angle_alpha 90.00
_cell_angle_beta 90.00
_cell_angle_gamma 120.00
_space_group_name_H-M_alt 'P 1'
_space_group_IT_number 1
_space_group_name_Hall 'P 1'
loop_
_atom_site_label
_atom_site_type_symbol
_atom_site_fract_x
_atom_site_fract_y
_atom_site_fract_z
Fe1 Fe 0.000 0.000 0.032
Fe2 Fe 0.000 0.000 0.468
Fe3 Fe 0.333 0.667 0.250
Zr1 Zr 0.333 0.667 0.750